FeHAu | PBE-GGA | relaxed

Output
total magnetization: 2.58 μB per formula unit
energy relative to the lowest polymorph listed for this composition: 0.011 eV per atom
crystal system: orthorhombic
electronic total energy: -4.857 eV/atom

Cell lengths 8.788, 9.025, 6.762 Å; angles 90.00, 90.00, 90.00 degrees
Space group Fdd2 (No. 43)
Symmetry-distinct sites (fractional):
Fe 0.110 0.094 0.000
H 0.085 0.406 0.480
Au 0.099 0.367 0.841